Record 1
# CsIn2Sn2Br7, optimized geometry, DFT PBE
# Formation energy without anion corrections, eV/atom: -0.90
# Calculated volume, Å³/f.u.: 485.2
# Crystal system: orthorhombic
# Energy, eV per cell: -36.8
data_CsIn2Sn2Br7
_chemical_formula_sum 'Cs1 In2 Sn2 Br7'
_symmetry_space_group_name_H-M 'P 1'
_symmetry_Int_Tables_number 1
_cell_length_a 13.325
_cell_length_b 13.325
_cell_length_c 13.325
_cell_angle_alpha 154.51
_cell_angle_beta 38.61
_cell_angle_gamma 151.49
loop_
_symmetry_equiv_pos_as_xyz
'x,y,z'
loop_
_atom_site_label
_atom_site_fract_x
_atom_site_fract_y
_atom_site_fract_z
_atom_site_occupancy
Cs1 0.000 0.000 0.000 1
In1 0.160 0.447 0.713 1
In2 0.734 0.447 0.287 1
Sn1 0.423 0.036 0.387 1
Sn2 0.650 0.036 0.613 1
Br1 0.039 0.630 0.409 1
Br2 0.178 0.911 0.267 1
Br3 0.221 0.630 0.591 1
Br4 0.462 0.577 0.885 1
Br5 0.630 0.130 0.500 1
Br6 0.644 0.911 0.733 1
Br7 0.692 0.577 0.115 1


Record 2
# Cs2In2SnBr6, optimized geometry, DFT PBE
# Formation energy without anion corrections, eV/atom: -1.06
# Calculated volume, Å³/f.u.: 506.5
# Crystal system: monoclinic
# Energy, eV per cell: -32.9
data_Cs2In2SnBr6
_chemical_formula_sum 'Cs2 In2 Sn1 Br6'
_symmetry_space_group_name_H-M 'P 1'
_symmetry_Int_Tables_number 1
_cell_length_a 8.619
_cell_length_b 8.619
_cell_length_c 9.090
_cell_angle_alpha 114.88
_cell_angle_beta 114.88
_cell_angle_gamma 58.99
loop_
_symmetry_equiv_pos_as_xyz
'x,y,z'
loop_
_atom_site_label
_atom_site_fract_x
_atom_site_fract_y
_atom_site_fract_z
_atom_site_occupancy
Cs1 0.220 0.220 0.162 1
Cs2 0.780 0.780 0.838 1
In1 0.434 0.434 0.798 1
In2 0.566 0.566 0.202 1
Sn1 0.000 0.000 0.500 1
Br1 0.177 0.691 0.220 1
Br2 0.210 0.210 0.547 1
Br3 0.309 0.823 0.780 1
Br4 0.691 0.177 0.220 1
Br5 0.790 0.790 0.453 1
Br6 0.823 0.309 0.780 1


Record 3
# Cs3In2SnBr6, optimized geometry, DFT PBE
# Formation energy without anion corrections, eV/atom: -1.07
# Calculated volume, Å³/f.u.: 513.2
# Crystal system: monoclinic
# Energy, eV per cell: -35.0
data_Cs3In2SnBr6
_chemical_formula_sum 'Cs3 In2 Sn1 Br6'
_symmetry_space_group_name_H-M 'P 1'
_symmetry_Int_Tables_number 1
_cell_length_a 9.106
_cell_length_b 9.106
_cell_length_c 8.094
_cell_angle_alpha 100.44
_cell_angle_beta 100.44
_cell_angle_gamma 124.00
loop_
_symmetry_equiv_pos_as_xyz
'x,y,z'
loop_
_atom_site_label
_atom_site_fract_x
_atom_site_fract_y
_atom_site_fract_z
_atom_site_occupancy
Cs1 0.000 0.000 0.000 1
Cs2 0.337 0.663 0.000 1
Cs3 0.663 0.337 0.000 1
In1 0.175 0.825 0.500 1
In2 0.825 0.175 0.500 1
Sn1 0.500 0.500 0.500 1
Br1 0.092 0.437 0.284 1
Br2 0.260 0.260 0.702 1
Br3 0.437 0.092 0.284 1
Br4 0.563 0.908 0.716 1
Br5 0.740 0.740 0.298 1
Br6 0.908 0.563 0.716 1


Record 4
# Cs4In3SnBr8, optimized geometry, DFT PBE
# Formation energy without anion corrections, eV/atom: -1.11
# Calculated volume, Å³/f.u.: 697.8
# Crystal system: monoclinic
# Energy, eV per cell: -46.8
data_Cs4In3SnBr8
_chemical_formula_sum 'Cs4 In3 Sn1 Br8'
_symmetry_space_group_name_H-M 'P 1'
_symmetry_Int_Tables_number 1
_cell_length_a 9.743
_cell_length_b 9.743
_cell_length_c 9.820
_cell_angle_alpha 115.75
_cell_angle_beta 115.75
_cell_angle_gamma 59.91
loop_
_symmetry_equiv_pos_as_xyz
'x,y,z'
loop_
_atom_site_label
_atom_site_fract_x
_atom_site_fract_y
_atom_site_fract_z
_atom_site_occupancy
Cs1 0.000 0.000 0.000 1
Cs2 0.000 0.500 0.500 1
Cs3 0.500 0.000 0.500 1
Cs4 0.500 0.500 0.000 1
In1 0.000 0.000 0.500 1
In2 0.000 0.500 0.000 1
In3 0.500 0.000 0.000 1
Sn1 0.500 0.500 0.500 1
Br1 0.235 0.235 0.213 1
Br2 0.242 0.242 0.759 1
Br3 0.254 0.723 0.272 1
Br4 0.277 0.746 0.728 1
Br5 0.723 0.254 0.272 1
Br6 0.746 0.277 0.728 1
Br7 0.758 0.758 0.241 1
Br8 0.765 0.765 0.787 1


Record 5
# Cs2InSnBr, optimized geometry, DFT PBE
# Formation energy without anion corrections, eV/atom: -0.42
# Calculated volume, Å³/f.u.: 301.8
# Crystal system: tetragonal
# Energy, eV per cell: -12.2
data_Cs2InSnBr
_chemical_formula_sum 'Cs2 In1 Sn1 Br1'
_symmetry_space_group_name_H-M 'P 1'
_symmetry_Int_Tables_number 1
_cell_length_a 7.549
_cell_length_b 7.549
_cell_length_c 5.295
_cell_angle_alpha 90.00
_cell_angle_beta 90.00
_cell_angle_gamma 90.00
loop_
_symmetry_equiv_pos_as_xyz
'x,y,z'
loop_
_atom_site_label
_atom_site_fract_x
_atom_site_fract_y
_atom_site_fract_z
_atom_site_occupancy
Cs1 0.000 0.500 0.000 1
Cs2 0.500 0.000 0.000 1
In1 0.000 0.000 0.500 1
Sn1 0.000 0.000 0.000 1
Br1 0.500 0.500 0.500 1


Record 6
# Cs2TbInBr6, optimized geometry, DFT PBE
# Formation energy without anion corrections, eV/atom: -1.65
# Calculated volume, Å³/f.u.: 421.5
# Crystal system: monoclinic
# Energy, eV per cell: -71.2
data_Cs2TbInBr6
_chemical_formula_sum 'Cs4 Tb2 In2 Br12'
_symmetry_space_group_name_H-M 'P 1'
_symmetry_Int_Tables_number 1
_cell_length_a 8.255
_cell_length_b 8.598
_cell_length_c 14.443
_cell_angle_alpha 90.00
_cell_angle_beta 124.68
_cell_angle_gamma 90.00
loop_
_symmetry_equiv_pos_as_xyz
'x,y,z'
loop_
_atom_site_label
_atom_site_fract_x
_atom_site_fract_y
_atom_site_fract_z
_atom_site_occupancy
Cs1 0.232 0.062 0.250 1
Cs2 0.232 0.438 0.750 1
Cs3 0.768 0.562 0.250 1
Cs4 0.768 0.938 0.750 1
Tb1 0.500 0.000 0.000 1
Tb2 0.500 0.500 0.500 1
In1 0.000 0.000 0.500 1
In2 0.000 0.500 0.000 1
Br1 0.183 0.184 0.961 1
Br2 0.183 0.316 0.461 1
Br3 0.277 0.726 0.959 1
Br4 0.277 0.774 0.459 1
Br5 0.347 0.017 0.769 1
Br6 0.347 0.483 0.269 1
Br7 0.653 0.517 0.731 1
Br8 0.653 0.983 0.231 1
Br9 0.723 0.226 0.541 1
Br10 0.723 0.274 0.041 1
Br11 0.817 0.684 0.539 1
Br12 0.817 0.816 0.039 1


Record 7
# CsTbIn2Br6, optimized geometry, DFT PBE
# Formation energy without anion corrections, eV/atom: -1.39
# Calculated volume, Å³/f.u.: 428.3
# Crystal system: trigonal
# Energy, eV per cell: -34.9
data_CsTbIn2Br6
_chemical_formula_sum 'Cs1 Tb1 In2 Br6'
_symmetry_space_group_name_H-M 'P 1'
_symmetry_Int_Tables_number 1
_cell_length_a 8.667
_cell_length_b 8.667
_cell_length_c 8.667
_cell_angle_alpha 56.97
_cell_angle_beta 56.97
_cell_angle_gamma 56.97
loop_
_symmetry_equiv_pos_as_xyz
'x,y,z'
loop_
_atom_site_label
_atom_site_fract_x
_atom_site_fract_y
_atom_site_fract_z
_atom_site_occupancy
Cs1 0.000 0.000 0.000 1
Tb1 0.484 0.484 0.484 1
In1 0.288 0.288 0.288 1
In2 0.801 0.801 0.801 1
Br1 0.117 0.648 0.434 1
Br2 0.258 0.569 0.833 1
Br3 0.434 0.117 0.648 1
Br4 0.569 0.833 0.258 1
Br5 0.648 0.434 0.117 1
Br6 0.833 0.258 0.569 1


Record 8
# Cs2InTeBr6, optimized geometry, DFT PBE
# Formation energy without anion corrections, eV/atom: -1.01
# Calculated volume, Å³/f.u.: 405.3
# Crystal system: tetragonal
# Energy, eV per cell: -27.7
data_Cs2InTeBr6
_chemical_formula_sum 'Cs2 In1 Te1 Br6'
_symmetry_space_group_name_H-M 'P 1'
_symmetry_Int_Tables_number 1
_cell_length_a 8.432
_cell_length_b 8.432
_cell_length_c 8.432
_cell_angle_alpha 122.67
_cell_angle_beta 122.67
_cell_angle_gamma 85.44
loop_
_symmetry_equiv_pos_as_xyz
'x,y,z'
loop_
_atom_site_label
_atom_site_fract_x
_atom_site_fract_y
_atom_site_fract_z
_atom_site_occupancy
Cs1 0.250 0.750 0.500 1
Cs2 0.750 0.250 0.500 1
In1 0.000 0.000 0.000 1
Te1 0.500 0.500 0.000 1
Br1 0.226 0.226 0.000 1
Br2 0.255 0.255 0.509 1
Br3 0.255 0.745 0.000 1
Br4 0.745 0.255 0.000 1
Br5 0.745 0.745 0.491 1
Br6 0.774 0.774 0.000 1


Record 9
# CsThIn2Br8, optimized geometry, DFT PBE
# Formation energy without anion corrections, eV/atom: -1.26
# Calculated volume, Å³/f.u.: 530.2
# Crystal system: triclinic
# Energy, eV per cell: -42.3
data_CsThIn2Br8
_chemical_formula_sum 'Cs1 Th1 In2 Br8'
_symmetry_space_group_name_H-M 'P 1'
_symmetry_Int_Tables_number 1
_cell_length_a 7.245
_cell_length_b 7.402
_cell_length_c 10.048
_cell_angle_alpha 85.14
_cell_angle_beta 81.57
_cell_angle_gamma 86.00
loop_
_symmetry_equiv_pos_as_xyz
'x,y,z'
loop_
_atom_site_label
_atom_site_fract_x
_atom_site_fract_y
_atom_site_fract_z
_atom_site_occupancy
Cs1 0.000 0.000 0.000 1
Th1 0.000 0.000 0.500 1
In1 0.463 0.483 0.230 1
In2 0.537 0.517 0.770 1
Br1 0.209 0.808 0.693 1
Br2 0.224 0.301 0.498 1
Br3 0.261 0.865 0.281 1
Br4 0.287 0.382 0.011 1
Br5 0.713 0.618 0.989 1
Br6 0.739 0.135 0.719 1
Br7 0.776 0.699 0.502 1
Br8 0.791 0.192 0.307 1


Record 10
# Cs2TiInBr6, optimized geometry, DFT PBE
# Formation energy without anion corrections, eV/atom: -1.34
# Calculated volume, Å³/f.u.: 408.8
# Crystal system: trigonal
# Energy, eV per cell: -71.6
data_Cs2TiInBr6
_chemical_formula_sum 'Cs4 Ti2 In2 Br12'
_symmetry_space_group_name_H-M 'P 1'
_symmetry_Int_Tables_number 1
_cell_length_a 15.837
_cell_length_b 15.837
_cell_length_c 15.837
_cell_angle_alpha 28.85
_cell_angle_beta 28.85
_cell_angle_gamma 28.85
loop_
_symmetry_equiv_pos_as_xyz
'x,y,z'
loop_
_atom_site_label
_atom_site_fract_x
_atom_site_fract_y
_atom_site_fract_z
_atom_site_occupancy
Cs1 0.135 0.135 0.135 1
Cs2 0.304 0.304 0.304 1
Cs3 0.696 0.696 0.696 1
Cs4 0.865 0.865 0.865 1
Ti1 0.000 0.000 0.000 1
Ti2 0.500 0.500 0.500 1
In1 0.415 0.415 0.415 1
In2 0.585 0.585 0.585 1
Br1 0.154 0.622 0.622 1
Br2 0.188 0.188 0.724 1
Br3 0.188 0.724 0.188 1
Br4 0.276 0.812 0.812 1
Br5 0.378 0.378 0.846 1
Br6 0.378 0.846 0.378 1
Br7 0.622 0.154 0.622 1
Br8 0.622 0.622 0.154 1
Br9 0.724 0.188 0.188 1
Br10 0.812 0.276 0.812 1
Br11 0.812 0.812 0.276 1
Br12 0.846 0.378 0.378 1


- energy of number 5 (Cs2InSnBr)?
  -12.2 eV per cell


- The lowest formation energy without anion corrections belongs to which entry?
  Cs2TbInBr6


- Look up the calculated volume of the seventh one.
  428.3 Å³/f.u.


Please write out number 9 again, unchanged.
# CsThIn2Br8, optimized geometry, DFT PBE
# Formation energy without anion corrections, eV/atom: -1.26
# Calculated volume, Å³/f.u.: 530.2
# Crystal system: triclinic
# Energy, eV per cell: -42.3
data_CsThIn2Br8
_chemical_formula_sum 'Cs1 Th1 In2 Br8'
_symmetry_space_group_name_H-M 'P 1'
_symmetry_Int_Tables_number 1
_cell_length_a 7.245
_cell_length_b 7.402
_cell_length_c 10.048
_cell_angle_alpha 85.14
_cell_angle_beta 81.57
_cell_angle_gamma 86.00
loop_
_symmetry_equiv_pos_as_xyz
'x,y,z'
loop_
_atom_site_label
_atom_site_fract_x
_atom_site_fract_y
_atom_site_fract_z
_atom_site_occupancy
Cs1 0.000 0.000 0.000 1
Th1 0.000 0.000 0.500 1
In1 0.463 0.483 0.230 1
In2 0.537 0.517 0.770 1
Br1 0.209 0.808 0.693 1
Br2 0.224 0.301 0.498 1
Br3 0.261 0.865 0.281 1
Br4 0.287 0.382 0.011 1
Br5 0.713 0.618 0.989 1
Br6 0.739 0.135 0.719 1
Br7 0.776 0.699 0.502 1
Br8 0.791 0.192 0.307 1